# 1
# GGA-PBE AcMgPbSe, relaxed
# M_tot = 0.00 μB per atom
# DFT total energy = -4.087 eV per atom
# DOS at the Fermi energy = 4.4 states/eV/cell
# ρ = 7.2 g/cm3
# E_form (uncorrected) = -0.863 eV/atom
data_AcMgPbSe
_chemical_formula_sum 'Ac2 Mg2 Pb2 Se2'
_cell_length_a 5.102
_cell_length_b 5.102
_cell_length_c 9.462
_cell_angle_alpha 90.00
_cell_angle_beta 90.00
_cell_angle_gamma 90.00
_space_group_name_H-M_alt 'P 1'
_space_group_IT_number 1
loop_
_space_group_symop_operation_xyz
'x,y,z'
loop_
_atom_site_label
_atom_site_type_symbol
_atom_site_fract_x
_atom_site_fract_y
_atom_site_fract_z
_atom_site_occupancy
Ac1 Ac 0.250 0.250 0.177 1
Ac2 Ac 0.750 0.750 0.823 1
Mg1 Mg 0.250 0.750 0.500 1
Mg2 Mg 0.750 0.250 0.500 1
Pb1 Pb 0.250 0.250 0.674 1
Pb2 Pb 0.750 0.750 0.326 1
Se1 Se 0.250 0.750 0.000 1
Se2 Se 0.750 0.250 0.000 1


# 2
# GGA-PBE Cd2Ga2Cl, relaxed
# M_tot = 0.00 μB per atom
# DFT total energy = -2.083 eV per atom
# DOS at the Fermi energy = 2.9 states/eV/cell
# ρ = 5.9 g/cm3
# E_form (uncorrected) = -0.136 eV/atom
data_Cd2Ga2Cl
_chemical_formula_sum 'Cd4 Ga4 Cl2'
_cell_length_a 8.190
_cell_length_b 8.190
_cell_length_c 3.377
_cell_angle_alpha 90.00
_cell_angle_beta 90.00
_cell_angle_gamma 90.00
_space_group_name_H-M_alt 'P 1'
_space_group_IT_number 1
loop_
_space_group_symop_operation_xyz
'x,y,z'
loop_
_atom_site_label
_atom_site_type_symbol
_atom_site_fract_x
_atom_site_fract_y
_atom_site_fract_z
_atom_site_occupancy
Cd1 Cd 0.190 0.310 0.000 1
Cd2 Cd 0.310 0.810 0.000 1
Cd3 Cd 0.690 0.190 0.000 1
Cd4 Cd 0.810 0.690 0.000 1
Ga1 Ga 0.112 0.612 0.500 1
Ga2 Ga 0.388 0.112 0.500 1
Ga3 Ga 0.612 0.888 0.500 1
Ga4 Ga 0.888 0.388 0.500 1
Cl1 Cl 0.000 0.000 0.000 1
Cl2 Cl 0.500 0.500 0.000 1


# 3
# GGA-PBE ErSc2RuO8, relaxed
# M_tot = 0.09 μB per atom
# DFT total energy = -7.907 eV per atom
# DOS at the Fermi energy = 3.1 states/eV/cell
# ρ = 5.3 g/cm3
# E_form (uncorrected) = -2.393 eV/atom
data_ErSc2RuO8
_chemical_formula_sum 'Er1 Sc2 Ru1 O8'
_cell_length_a 4.853
_cell_length_b 6.460
_cell_length_c 4.864
_cell_angle_alpha 90.00
_cell_angle_beta 90.13
_cell_angle_gamma 90.00
_space_group_name_H-M_alt 'P 1'
_space_group_IT_number 1
loop_
_space_group_symop_operation_xyz
'x,y,z'
loop_
_atom_site_label
_atom_site_type_symbol
_atom_site_fract_x
_atom_site_fract_y
_atom_site_fract_z
_atom_site_occupancy
Er1 Er 0.000 0.000 0.000 1
Sc1 Sc 0.500 0.243 0.500 1
Sc2 Sc 0.500 0.757 0.500 1
Ru1 Ru 0.000 0.500 0.000 1
O1 O 0.194 0.286 0.808 1
O2 O 0.194 0.714 0.808 1
O3 O 0.278 0.500 0.280 1
O4 O 0.313 0.000 0.316 1
O5 O 0.687 0.000 0.684 1
O6 O 0.722 0.500 0.720 1
O7 O 0.806 0.286 0.192 1
O8 O 0.806 0.714 0.192 1


# 4
# GGA-PBE LiP2Rh, relaxed
# M_tot = 0.00 μB per atom
# DFT total energy = -5.149 eV per atom
# E above lowest polymorph = 305.5 meV/atom
# DOS at the Fermi energy = 1.1 states/eV/cell
# ρ = 4.8 g/cm3
data_LiP2Rh
_chemical_formula_sum 'Li1 P2 Rh1'
_cell_length_a 2.837
_cell_length_b 2.837
_cell_length_c 7.377
_cell_angle_alpha 90.00
_cell_angle_beta 90.00
_cell_angle_gamma 90.00
_space_group_name_H-M_alt 'P 1'
_space_group_IT_number 1
loop_
_space_group_symop_operation_xyz
'x,y,z'
loop_
_atom_site_label
_atom_site_type_symbol
_atom_site_fract_x
_atom_site_fract_y
_atom_site_fract_z
_atom_site_occupancy
Li1 Li 0.000 0.000 0.000 1
P1 P 0.000 0.000 0.565 1
P2 P 0.500 0.500 0.226 1
Rh1 Rh 0.500 0.500 0.736 1